Density functional theory data (PBE) for crystalline Sm6Al43Mo4 at its relaxed geometry.

Summary:
- DFT total energy (eV per cell) = -498.98

Cell: 11.0528 11.0528 17.8832 Å, 90.00 90.00 120.00°
Atoms (fractional coordinates):
Al 0.7530 0.2470 0.0000
Al 0.4940 0.2470 0.0000
Al 0.2470 0.4940 0.0000
Al 0.7530 0.5060 0.0000
Al 0.2470 0.7530 0.0000
Al 0.5060 0.7530 0.0000
Al 0.7474 0.0000 0.0306
Al 0.2526 0.2526 0.0306
Al 0.0000 0.7474 0.0306
Al 0.1592 0.0000 0.1147
Al 0.0000 0.1592 0.1147
Al 0.8408 0.8408 0.1147
Al 0.6667 0.3333 0.1264
Al 0.3333 0.6667 0.1264
Al 0.7645 0.1580 0.1647
Al 0.3935 0.2355 0.1647
Al 0.2355 0.3935 0.1647
Al 0.8420 0.6065 0.1647
Al 0.1580 0.7645 0.1647
Al 0.6065 0.8420 0.1647
Al 0.8528 0.0000 0.2500
Al 0.1472 0.1472 0.2500
Al 0.5511 0.1475 0.2500
Al 0.8525 0.4035 0.2500
Al 0.5965 0.4489 0.2500
Al 0.1475 0.5511 0.2500
Al 0.4489 0.5965 0.2500
Al 0.4035 0.8525 0.2500
Al 0.0000 0.8528 0.2500
Al 0.7645 0.1580 0.3353
Al 0.3935 0.2355 0.3353
Al 0.2355 0.3935 0.3353
Al 0.8420 0.6065 0.3353
Al 0.1580 0.7645 0.3353
Al 0.6065 0.8420 0.3353
Al 0.6667 0.3333 0.3736
Al 0.3333 0.6667 0.3736
Al 0.1592 0.0000 0.3853
Al 0.0000 0.1592 0.3853
Al 0.8408 0.8408 0.3853
Al 0.7474 0.0000 0.4694
Al 0.2526 0.2526 0.4694
Al 0.0000 0.7474 0.4694
Al 0.7530 0.2470 0.5000
Al 0.4940 0.2470 0.5000
Al 0.2470 0.4940 0.5000
Al 0.7530 0.5060 0.5000
Al 0.2470 0.7530 0.5000
Al 0.5060 0.7530 0.5000
Al 0.2526 0.0000 0.5306
Al 0.0000 0.2526 0.5306
Al 0.7474 0.7474 0.5306
Al 0.8408 0.0000 0.6147
Al 0.1592 0.1592 0.6147
Al 0.0000 0.8408 0.6147
Al 0.6667 0.3333 0.6264
Al 0.3333 0.6667 0.6264
Al 0.3935 0.1580 0.6647
Al 0.8420 0.2355 0.6647
Al 0.1580 0.3935 0.6647
Al 0.7645 0.6065 0.6647
Al 0.6065 0.7645 0.6647
Al 0.2355 0.8420 0.6647
Al 0.1472 0.0000 0.7500
Al 0.0000 0.1472 0.7500
Al 0.5965 0.1475 0.7500
Al 0.5511 0.4035 0.7500
Al 0.8525 0.4489 0.7500
Al 0.4035 0.5511 0.7500
Al 0.1475 0.5965 0.7500
Al 0.4489 0.8525 0.7500
Al 0.8528 0.8528 0.7500
Al 0.3935 0.1580 0.8353
Al 0.8420 0.2355 0.8353
Al 0.1580 0.3935 0.8353
Al 0.7645 0.6065 0.8353
Al 0.6065 0.7645 0.8353
Al 0.2355 0.8420 0.8353
Al 0.6667 0.3333 0.8736
Al 0.3333 0.6667 0.8736
Al 0.8408 0.0000 0.8853
Al 0.1592 0.1592 0.8853
Al 0.0000 0.8408 0.8853
Al 0.2526 0.0000 0.9694
Al 0.0000 0.2526 0.9694
Al 0.7474 0.7474 0.9694
Mo 0.0000 0.0000 0.0000
Mo 0.2686 0.0000 0.2500
Mo 0.0000 0.2686 0.2500
Mo 0.7314 0.7314 0.2500
Mo 0.0000 0.0000 0.5000
Mo 0.7314 0.0000 0.7500
Mo 0.2686 0.2686 0.7500
Mo 0.0000 0.7314 0.7500
Sm 0.4696 0.0000 0.0952
Sm 0.0000 0.4696 0.0952
Sm 0.5304 0.5304 0.0952
Sm 0.4696 0.0000 0.4048
Sm 0.0000 0.4696 0.4048
Sm 0.5304 0.5304 0.4048
Sm 0.5304 0.0000 0.5952
Sm 0.4696 0.4696 0.5952
Sm 0.0000 0.5304 0.5952
Sm 0.5304 0.0000 0.9048
Sm 0.4696 0.4696 0.9048
Sm 0.0000 0.5304 0.9048

***

Density functional theory data (PBE) for crystalline Al2SnMo2 at its relaxed geometry.

Summary:
- DFT total energy (eV per cell) = -31.82

Cell: 6.8603 6.8603 6.8603 Å, 148.33 148.33 45.40°
Atoms (fractional coordinates):
Al 0.7500 0.2500 0.5000
Al 0.2500 0.7500 0.5000
Mo 0.4016 0.4016 0.0000
Mo 0.5984 0.5984 0.0000
Sn 0.0000 0.0000 0.0000

***

Density functional theory data (PBE) for crystalline Sr2AlMo at its relaxed geometry.

Summary:
- DFT total energy (eV per cell) = -15.10

Cell: 5.3648 5.3648 5.3648 Å, 60.00 60.00 60.00°
Each line ends with the local moment (μB).
Atoms (fractional coordinates):
Al 0.7500 0.7500 0.7500  -0.04
Mo 0.5000 0.5000 0.5000  2.82
Sr 0.0000 0.0000 0.0000  0.03
Sr 0.2500 0.2500 0.2500  0.12

***

Density functional theory data (PBE) for crystalline SrAl2Mo at its relaxed geometry.

Summary:
- DFT total energy (eV per cell) = -17.39

Cell: 4.8350 4.8350 4.8350 Å, 60.00 60.00 60.00°
Each line ends with the local moment (μB).
Atoms (fractional coordinates):
Al 0.2500 0.2500 0.2500  0.00
Al 0.5000 0.5000 0.5000  0.00
Mo 0.7500 0.7500 0.7500  0.17
Sr 0.0000 0.0000 0.0000  0.00